Density functional theory data (PBE) for a geometry-optimized ScPaIn structure.

Cell lengths 3.141, 3.141, 14.591 Å; angles 90.00, 90.00, 90.00 degrees
Space group I4mm (No. 107)
Asymmetric unit:
1 Sc 0.000 0.000 0.000
2 Pa 0.000 0.000 0.331
3 In 0.000 0.000 0.657

Output
Energy above the most stable polymorph in this dataset in kJ per mole of atoms: 0.00
Fermi-level density of states in states/eV/cell: 10.8


Density functional theory data (PBE) for a geometry-optimized ScPaIn2 structure.

Cell lengths 3.2761, 3.2761, 31.4489 Å; angles 90.00, 90.00, 120.00 degrees
Space group R-3m (No. 166, hexagonal axes)
Asymmetric unit:
1 Sc 0.0000 0.0000 0.0000
2 Pa 0.0000 0.0000 0.5000
3 In 0.0000 0.0000 0.2546

Output
Energy above the most stable polymorph in this dataset in kJ per mole of atoms: 6.05
Fermi-level density of states in states/eV/cell: 18.4


Density functional theory data (PBE) for a geometry-optimized Sc4PaIn5 structure.

Cell lengths 3.205, 3.205, 22.329 Å; angles 90.00, 90.00, 90.00 degrees
Space group P4/mmm (No. 123)
Asymmetric unit:
1 Sc 0.000 0.000 0.098
2 Sc 0.000 0.000 0.293
3 Pa 0.000 0.000 0.500
4 In 0.500 0.500 0.000
5 In 0.500 0.500 0.195
6 In 0.500 0.500 0.390

Output
Fermi-level density of states in states/eV/cell: 9.3


Density functional theory data (PBE) for a geometry-optimized ScPa2In9 structure.

Cell lengths 4.615, 4.615, 13.763 Å; angles 90.00, 90.00, 90.00 degrees
Space group P4/mmm (No. 123)
Asymmetric unit:
1 Sc 0.000 0.000 0.000
2 Pa 0.000 0.000 0.330
3 In 0.000 0.500 0.160
4 In 0.000 0.500 0.500
5 In 0.500 0.500 0.000
6 In 0.500 0.500 0.332

Output
Fermi-level density of states in states/eV/cell: 12.3


Density functional theory data (PBE) for a geometry-optimized ScPaIn structure.

Cell lengths 5.2165, 5.2165, 3.0294 Å; angles 90.00, 90.00, 120.00 degrees
Space group P3m1 (No. 156)
Asymmetric unit:
1 Sc 0.0000 0.0000 0.0000
2 Pa 0.6667 0.3333 0.9956
3 In 0.3333 0.6667 0.4962

Output
Energy above the most stable polymorph in this dataset in kJ per mole of atoms: 26.21
Fermi-level density of states in states/eV/cell: 5.9


Density functional theory data (PBE) for a geometry-optimized ScPaIn structure.

Cell lengths 3.207, 5.022, 5.187 Å; angles 90.00, 90.00, 90.00 degrees
Space group Pmmm (No. 47)
Asymmetric unit:
1 Sc 0.000 0.000 0.000
2 Pa 0.500 0.000 0.500
3 In 0.500 0.500 0.000

Output
Energy above the most stable polymorph in this dataset in kJ per mole of atoms: 46.11
Fermi-level density of states in states/eV/cell: 5.6


Density functional theory data (PBE) for a geometry-optimized ScPaIn2 structure.

Cell lengths 4.619, 4.619, 4.584 Å; angles 90.00, 90.00, 90.00 degrees
Space group P4/mmm (No. 123)
Asymmetric unit:
1 Sc 0.000 0.000 0.000
2 Pa 0.500 0.500 0.000
3 In 0.000 0.500 0.500

Output
Energy above the most stable polymorph in this dataset in kJ per mole of atoms: 10.98
Fermi-level density of states in states/eV/cell: 6.6


Density functional theory data (PBE) for a geometry-optimized ScPaIn2 structure.

Cell lengths 3.160, 3.160, 9.433 Å; angles 90.00, 90.00, 90.00 degrees
Space group P4/mmm (No. 123)
Asymmetric unit:
1 Sc 0.000 0.000 0.000
2 Pa 0.000 0.000 0.500
3 In 0.500 0.500 0.235

Output
Energy above the most stable polymorph in this dataset in kJ per mole of atoms: 0.00
Fermi-level density of states in states/eV/cell: 4.5


no.,spin magnetization (μB/atom),calculated total energy (eV/atom)
1,0.000,-6.286
2,0.004,-5.485
3,0.069,-5.198
4,0.172,-4.354
5,0.365,-6.014
6,0.361,-5.808
7,0.000,-5.434
8,0.035,-5.548